A plane-wave DFT calculation with PBE was carried out for a relaxed K3Ce3CdS8 crystal.

Lattice parameters (Å, degrees): 14.1864 8.0952 7.6522 90.00 91.43 90.00
Last column: nearest neighbours and their distance in Å.
Space group C2/m (No. 12)
Unique sites:
K 0.0000 0.0000 0.0000  6 S 3.27-3.36
K 0.2500 0.2500 0.0000  6 S 3.23-3.33
Ce 0.0000 0.5000 0.5000  6 S 2.79-2.81
Ce 0.2500 0.2500 0.5000  6 S 2.76-2.78
Cd 0.0000 0.0000 0.5000  6 S 2.75-2.95
S 0.0874 0.2471 0.6909  1 Cd 2.75, 2 Ce 2.76-2.79
S 0.1652 0.5000 0.3047  3 Ce 2.77-2.81
S 0.1723 0.0000 0.2928  2 Ce 2.78, 1 Cd 2.95

Values from the calculation:
Total moment = 1.12 μB per formula unit

***

A plane-wave DFT calculation with PBE was carried out for a relaxed K3Ce2CdSe6 crystal.

Lattice parameters (Å, degrees): 7.4169 12.8412 8.0610 90.00 107.80 90.00
Last column: nearest neighbours and their distance in Å.
Space group C2/m (No. 12)
Unique sites:
K 0.0000 0.0000 0.0000  6 Se 3.33-3.35
K 0.0000 0.3359 0.0000  6 Se 3.33-3.35
Ce 0.0000 0.1670 0.5000  6 Se 2.93
Cd 0.0000 0.5000 0.5000  6 Se 2.95
Se 0.2333 0.0000 0.7065  2 Ce 2.93, 1 Cd 2.95
Se 0.2370 0.3322 0.7074  2 Ce 2.93, 1 Cd 2.95

Values from the calculation:
Total moment = 1.02 μB per formula unit

***

A plane-wave DFT calculation with PBE was carried out for a relaxed K2CeCdSe4 crystal.

Lattice parameters (Å, degrees): 7.3265 4.2525 8.0987 90.00 109.05 90.00
Last column: nearest neighbours and their distance in Å.
Space group P2/m (No. 10)
Unique sites:
K 0.0000 0.0000 0.0000  6 Se 3.25-3.36
K 0.5000 0.5000 0.0000  6 Se 3.31-3.42
Ce 0.0000 0.5000 0.5000  6 Se 2.88-2.89
Cd 0.5000 0.0000 0.5000  6 Se 2.86-3.06
Se 0.2226 0.0000 0.7124  2 Ce 2.88, 1 Cd 3.06
Se 0.2669 0.5000 0.3039  2 Cd 2.86, 1 Ce 2.89

Values from the calculation:
Total moment = 0.00 μB per formula unit

***

A plane-wave DFT calculation with PBE was carried out for a relaxed K4Ce3CdTe8 crystal.

Lattice parameters (Å, degrees): 15.9293 9.1894 9.7739 90.00 122.91 90.00
Last column: nearest neighbours and their distance in Å.
Space group C2/m (No. 12)
Unique sites:
K 0.0000 0.0000 0.0000  6 Te 3.58-3.59
K 0.0000 0.5000 0.0000  6 Te 3.55-3.56
K 0.2500 0.2500 0.0000  6 Te 3.54-3.56
Ce 0.0000 0.0000 0.5000  6 Te 3.17-3.18
Ce 0.2500 0.2500 0.5000  6 Te 3.17-3.18
Cd 0.0000 0.5000 0.5000  6 Te 3.14-3.15
Te 0.0131 0.2520 0.2913  1 Cd 3.14, 2 Ce 3.17
Te 0.2357 0.5000 0.7093  1 Cd 3.15, 2 Ce 3.17
Te 0.2379 0.0000 0.7136  3 Ce 3.18, 3 K 3.54-3.55

Values from the calculation:
Total moment = 2.01 μB per formula unit

***

Number 1: formation energy without anion corrections -22.87 eV/f.u., total DFT energy (no corrections) -5.194 eV per atom, calculated density 3.43 g/cm3. Number 2: formation energy without anion corrections -17.02 eV/f.u., total DFT energy (no corrections) -4.500 eV per atom, calculated density 4.47 g/cm3. Number 3: formation energy without anion corrections -10.02 eV/f.u., total DFT energy (no corrections) -4.125 eV per atom, calculated density 4.50 g/cm3. Number 4: formation energy without anion corrections -18.69 eV/f.u., total DFT energy (no corrections) -4.183 eV per atom, calculated density 4.73 g/cm3.